The following is a DFT calculation (GGA-PBE) of crystalline Ba2TcPb at its relaxed geometry.

Geometry as extended XYZ:
```
4
Lattice="3.800 -4.856 0.000 3.800 4.856 0.000 0.000 0.000 3.664" Properties=species:S:1:pos:R:3 pbc="T T T"
Ba 1.900 2.428 0.000
Ba 1.900 -2.428 0.000
Tc 0.000 0.000 1.832
Pb 3.800 0.000 1.832
```

Calculated values
Mass density, g/cm3: 7.1
VASP energy, eV per atom: -3.9369